1.
La5Y3Sb8 | PBE | optimized geometry

Calculated values
Energy: -6.040 eV per atom
Total magnetic moment: 0.00 Bohr magnetons per cell
Space-group type: R-3m

Cell: 9.073 9.073 9.073 Å, 60.09 60.09 60.09°
Atoms (fractional coordinates):
La 0.000 0.000 0.000
La 0.000 0.500 0.500
La 0.500 0.000 0.500
La 0.500 0.500 0.000
La 0.500 0.500 0.500
Y 0.000 0.000 0.500
Y 0.000 0.500 0.000
Y 0.500 0.000 0.000
Sb 0.241 0.750 0.750
Sb 0.246 0.246 0.246
Sb 0.250 0.250 0.759
Sb 0.250 0.759 0.250
Sb 0.750 0.241 0.750
Sb 0.750 0.750 0.241
Sb 0.754 0.754 0.754
Sb 0.759 0.250 0.250

***

2.
La2YSb | PBE | optimized geometry

Calculated values
Energy: -5.680 eV per atom
Total magnetic moment: 0.00 Bohr magnetons per cell
Space-group type: P4/mmm

Cell: 4.871 4.871 5.066 Å, 90.00 90.00 90.00°
Atoms (fractional coordinates):
La 0.000 0.500 0.000
La 0.500 0.000 0.000
Y 0.000 0.000 0.500
Sb 0.500 0.500 0.500

***

3.
LaYSb3 | PBE | optimized geometry

Calculated values
Energy: -4.468 eV per atom
Polymorph energy (0 for the lowest one): 48.7 kJ per mole of atoms
Total magnetic moment: 0.00 Bohr magnetons per cell
Space-group type: Pm-3m

Cell: 5.876 5.876 5.876 Å, 90.00 90.00 90.00°
Atoms (fractional coordinates):
La 0.000 0.000 0.000
Y 0.500 0.500 0.500
Sb 0.000 0.000 0.500
Sb 0.000 0.500 0.000
Sb 0.500 0.000 0.000

***

4.
LaY5Sb6 | PBE | optimized geometry

Calculated values
Energy: -6.344 eV per atom
Total magnetic moment: 0.00 Bohr magnetons per cell
Space-group type: C2/m

Cell: 7.678 7.678 7.676 Å, 99.62 99.62 120.01°
Atoms (fractional coordinates):
La 0.000 0.000 0.000
Y 0.164 0.836 0.500
Y 0.332 0.668 0.000
Y 0.500 0.500 0.500
Y 0.668 0.332 0.000
Y 0.836 0.164 0.500
Sb 0.085 0.426 0.255
Sb 0.257 0.257 0.748
Sb 0.426 0.085 0.255
Sb 0.574 0.915 0.745
Sb 0.743 0.743 0.252
Sb 0.915 0.574 0.745

***

5.
La4YSb5 | PBE | optimized geometry

Calculated values
Energy: -5.925 eV per atom
Total magnetic moment: 0.00 Bohr magnetons per cell
Space-group type: I4/m

Cell: 7.934 7.934 7.934 Å, 99.62 99.62 131.74°
Atoms (fractional coordinates):
La 0.098 0.300 0.398
La 0.300 0.902 0.202
La 0.700 0.098 0.798
La 0.902 0.700 0.602
Y 0.500 0.500 0.000
Sb 0.000 0.000 0.000
Sb 0.207 0.598 0.805
Sb 0.402 0.207 0.608
Sb 0.598 0.793 0.392
Sb 0.793 0.402 0.195

***

6.
La2Y2Sb | PBE | optimized geometry

Calculated values
Energy: -5.418 eV per atom
Polymorph energy (0 for the lowest one): 25.4 kJ per mole of atoms
Total magnetic moment: 0.28 Bohr magnetons per cell
Space-group type: I4/mmm

Cell: 10.014 10.014 10.014 Å, 155.18 155.18 35.39°
Atoms (fractional coordinates):
La 0.085 0.085 0.000
La 0.915 0.915 0.000
Y 0.250 0.750 0.500
Y 0.750 0.250 0.500
Sb 0.500 0.500 0.000

***

7.
La2YSb4 | PBE | optimized geometry

Calculated values
Energy: -5.276 eV per atom
Total magnetic moment: 0.00 Bohr magnetons per cell
Space-group type: I4/mmm

Cell: 8.905 8.905 8.905 Å, 142.62 142.62 53.89°
Atoms (fractional coordinates):
La 0.114 0.114 0.000
La 0.886 0.886 0.000
Y 0.500 0.500 0.000
Sb 0.000 0.500 0.500
Sb 0.309 0.309 0.000
Sb 0.500 0.000 0.500
Sb 0.691 0.691 0.000

***

8.
La2Y4Sb | PBE | optimized geometry

Calculated values
Energy: -5.414 eV per atom
Total magnetic moment: 0.00 Bohr magnetons per cell
Space-group type: I4/mmm

Cell: 9.690 9.690 9.690 Å, 146.35 146.35 48.33°
Atoms (fractional coordinates):
La 0.129 0.129 0.000
La 0.871 0.871 0.000
Y 0.000 0.500 0.500
Y 0.333 0.333 0.000
Y 0.500 0.000 0.500
Y 0.667 0.667 0.000
Sb 0.500 0.500 0.000

***

9.
La2YSb3 | PBE | optimized geometry

Calculated values
Energy: -6.009 eV per atom
Polymorph energy (0 for the lowest one): 0.4 kJ per mole of atoms
Total magnetic moment: 0.00 Bohr magnetons per cell
Space-group type: Immm

Cell: 7.871 7.871 7.871 Å, 146.37 131.65 60.19°
Atoms (fractional coordinates):
La 0.168 0.168 0.000
La 0.832 0.832 0.000
Y 0.500 0.500 0.000
Sb 0.000 0.500 0.500
Sb 0.340 0.840 0.500
Sb 0.660 0.160 0.500

***

10.
La2YSb2 | PBE | optimized geometry

Calculated values
Energy: -5.549 eV per atom
Polymorph energy (0 for the lowest one): 39.8 kJ per mole of atoms
Total magnetic moment: 2.67 Bohr magnetons per cell
Space-group type: P4/mbm

Cell: 8.830 8.830 4.077 Å, 90.00 90.00 90.00°
Atoms (fractional coordinates):
La 0.129 0.371 0.000
La 0.371 0.871 0.000
La 0.629 0.129 0.000
La 0.871 0.629 0.000
Y 0.000 0.000 0.000
Y 0.500 0.500 0.000
Sb 0.174 0.674 0.500
Sb 0.326 0.174 0.500
Sb 0.674 0.826 0.500
Sb 0.826 0.326 0.500

***

11.
La2YSb | PBE | optimized geometry

Calculated values
Energy: -5.580 eV per atom
Total magnetic moment: 0.00 Bohr magnetons per cell
Space-group type: Cmmm

Cell: 5.971 5.971 3.678 Å, 90.00 90.00 109.94°
Atoms (fractional coordinates):
La 0.000 0.500 0.000
La 0.500 0.000 0.000
Y 0.000 0.000 0.500
Sb 0.500 0.500 0.500

***

12.
La5YSb4 | PBE | optimized geometry

Calculated values
Energy: -5.620 eV per atom
Total magnetic moment: 0.00 Bohr magnetons per cell
Space-group type: C2/m

Cell: 10.001 10.001 8.892 Å, 103.97 103.97 25.74°
Atoms (fractional coordinates):
La 0.000 0.000 0.000
La 0.329 0.329 0.158
La 0.334 0.334 0.672
La 0.666 0.666 0.328
La 0.671 0.671 0.842
Y 0.000 0.000 0.500
Sb 0.165 0.165 0.585
Sb 0.496 0.496 0.255
Sb 0.504 0.504 0.745
Sb 0.835 0.835 0.415

***

13.
La2YSb | PBE | optimized geometry

Calculated values
Energy: -5.471 eV per atom
Total magnetic moment: 0.00 Bohr magnetons per cell
Space-group type: R-3m

Cell: 9.802 9.802 9.802 Å, 24.82 24.82 24.82°
Atoms (fractional coordinates):
La 0.238 0.238 0.238
La 0.762 0.762 0.762
Y 0.000 0.000 0.000
Sb 0.500 0.500 0.500

***

14.
LaY3Sb | PBE | optimized geometry

Calculated values
Energy: -5.705 eV per atom
Polymorph energy (0 for the lowest one): 0.0 kJ per mole of atoms
Total magnetic moment: 2.50 Bohr magnetons per cell
Space-group type: Pm-3m

Cell: 5.774 5.774 5.774 Å, 90.00 90.00 90.00°
Atoms (fractional coordinates):
La 0.000 0.000 0.000
Y 0.000 0.500 0.500
Y 0.500 0.000 0.500
Y 0.500 0.500 0.000
Sb 0.500 0.500 0.500

***

15.
La2YSb | PBE | optimized geometry

Calculated values
Energy: -5.423 eV per atom
Total magnetic moment: 0.92 Bohr magnetons per cell
Space-group type: I-42d

Cell: 7.282 7.282 7.282 Å, 100.92 100.92 128.41°
Atoms (fractional coordinates):
La 0.091 0.125 0.466
La 0.375 0.909 0.034
La 0.659 0.625 0.534
La 0.875 0.341 0.966
Y 0.250 0.750 0.500
Y 0.500 0.500 0.000
Sb 0.000 0.000 0.000
Sb 0.750 0.250 0.500

***

16.
LaY4Sb | PBE | optimized geometry

Calculated values
Energy: -5.679 eV per atom
Total magnetic moment: 2.35 Bohr magnetons per cell
Space-group type: F-43m

Cell: 6.557 6.557 6.557 Å, 60.00 60.00 60.00°
Atoms (fractional coordinates):
La 0.000 0.000 0.000
Y 0.374 0.374 0.374
Y 0.374 0.374 0.877
Y 0.374 0.877 0.374
Y 0.877 0.374 0.374
Sb 0.750 0.750 0.750

***

17.
LaY5Sb4 | PBE | optimized geometry

Calculated values
Energy: -6.147 eV per atom
Total magnetic moment: 0.00 Bohr magnetons per cell
Space-group type: C2/m

Cell: 9.702 9.702 8.568 Å, 105.94 105.94 26.08°
Atoms (fractional coordinates):
La 0.000 0.000 0.000
Y 0.000 0.000 0.500
Y 0.322 0.322 0.651
Y 0.340 0.340 0.170
Y 0.660 0.660 0.830
Y 0.678 0.678 0.349
Sb 0.174 0.174 0.095
Sb 0.490 0.490 0.732
Sb 0.510 0.510 0.268
Sb 0.826 0.826 0.905

***

18.
LaYSb | PBE | optimized geometry

Calculated values
Energy: -5.743 eV per atom
Total magnetic moment: 1.23 Bohr magnetons per cell
Space-group type: P3m1

Cell: 4.248 4.248 6.958 Å, 90.00 90.00 120.00°
Atoms (fractional coordinates):
La 0.000 0.000 0.000
Y 0.333 0.667 0.549
Sb 0.667 0.333 0.289

***

19.
LaYSb | PBE | optimized geometry

Calculated values
Energy: -5.854 eV per atom
Total magnetic moment: 1.02 Bohr magnetons per cell
Space-group type: C2/m

Cell: 8.612 8.612 11.176 Å, 90.28 90.28 28.80°
Atoms (fractional coordinates):
La 0.032 0.032 0.372
La 0.401 0.401 0.138
La 0.599 0.599 0.862
La 0.968 0.968 0.628
Y 0.194 0.194 0.087
Y 0.246 0.246 0.657
Y 0.754 0.754 0.343
Y 0.806 0.806 0.913
Sb 0.376 0.376 0.439
Sb 0.413 0.413 0.821
Sb 0.587 0.587 0.179
Sb 0.624 0.624 0.561

***

20.
La2YSb | PBE | optimized geometry

Calculated values
Energy: -5.590 eV per atom
Total magnetic moment: 0.00 Bohr magnetons per cell
Space-group type: I4/mmm

Cell: 6.313 6.313 6.313 Å, 135.12 135.12 65.34°
Atoms (fractional coordinates):
La 0.250 0.750 0.500
La 0.750 0.250 0.500
Y 0.000 0.000 0.000
Sb 0.500 0.500 0.000